Record 1
CsCdAs2Se | GGA-PBEsol | relaxed

POSCAR file:
```
CsCdAs2Se
1.0
5.206 0.000 0.000
0.000 5.206 0.000
0.000 0.000 5.435
Cd As Se Cs
1 2 1 1
Direct
0.000 0.000 0.000
0.500 0.000 0.000
0.000 0.500 0.000
0.000 0.000 0.500
0.500 0.500 0.500
```

Summary:
The calculation puts the total DFT energy (no corrections) at -2.98 eV/atom. Its space group is P4/mmm, No. 123. Its magnetic moment is 0.01 Bohr magnetons per cell. Its formation energy without anion corrections is 0.262 eV per atom.

***

Record 2
LiCoAsO4 | GGA-PBEsol | relaxed

POSCAR file:
```
LiCoAsO4
1.0
-4.034 2.055 3.597
-5.584 -1.060 -1.009
-2.964 -3.613 3.388
O Li Co As
8 2 2 2
Direct
0.248 0.745 0.245
0.253 0.744 0.750
0.747 0.256 0.250
0.763 0.745 0.245
0.752 0.255 0.755
0.747 0.750 0.756
0.253 0.250 0.244
0.237 0.255 0.755
0.000 0.000 0.500
0.500 0.000 0.500
0.500 0.000 0.000
0.500 0.500 0.500
0.133 0.617 0.117
0.867 0.383 0.883
```

Summary:
The calculation puts the total DFT energy (no corrections) at -6.43 eV/atom. Its space group is Imma, No. 74. The polymorph energy (0 for the lowest one) is 0.000 eV/atom. Its magnetic moment is 6.00 Bohr magnetons per cell. Its formation energy without anion corrections is -1.313 eV per atom.

***

Record 3
SiHg2Sb | GGA-PBEsol | relaxed

POSCAR file:
```
SiHg2Sb
1.0
-5.927 0.687 5.016
5.645 -2.503 0.957
5.045 1.444 5.764
Hg Sb Si
4 2 2
Direct
0.153 0.750 0.875
0.597 0.750 0.375
0.375 0.250 0.153
0.875 0.250 0.597
0.000 0.000 0.000
0.750 0.500 0.750
0.250 0.500 0.250
0.500 0.000 0.500
```

Summary:
The calculation puts the total DFT energy (no corrections) at -2.59 eV/atom. Its space group is I-42d, No. 122. The polymorph energy (0 for the lowest one) is 0.135 eV/atom. Its magnetic moment is 0.00 Bohr magnetons per cell. Its formation energy without anion corrections is 0.273 eV per atom.

***

Record 4
CsSeBr3 | GGA-PBEsol | relaxed

POSCAR file:
```
CsSeBr3
1.0
5.446 0.000 0.000
0.000 5.446 0.000
0.000 0.000 5.446
Se Cs Br
1 1 3
Direct
0.000 0.000 0.000
0.500 0.500 0.500
0.000 0.500 0.000
0.000 0.000 0.500
0.500 0.000 0.000
```

Summary:
The calculation puts the total DFT energy (no corrections) at -2.89 eV/atom. Its space group is Pm-3m, No. 221. Its magnetic moment is 0.00 Bohr magnetons per cell. Its formation energy without anion corrections is -0.811 eV per atom.

***

Calculated volume (Å³ per cell)
147.3 135.5 178.9 161.5